Compound: Pm3Dy8Mg
Source: the Alexandria database
Functional: PBE-GGA
Structure: relaxed

Summary:
The calculation puts the total moment at 0.0000 μB per atom. The volume is 388 Å³ per cell. Its formation energy is 0.099 eV/atom.

abc: 9.795 9.795 13.118
angles: 118.52 118.52 20.62
Positions (direct):
Pm: 0.000 0.000 0.000
Pm: 0.015 0.015 0.738
Pm: 0.852 0.852 0.210
Dy: 0.007 0.007 0.474
Dy: 0.191 0.191 0.502
Dy: 0.195 0.195 0.238
Dy: 0.318 0.318 0.955
Dy: 0.533 0.533 0.259
Dy: 0.659 0.659 0.710
Dy: 0.662 0.662 0.984
Dy: 0.839 0.839 0.738
Mg: 0.835 0.835 0.473